{
  "formula": "Pu3Ge8Rh3",
  "functional": "GGA-PBE",
  "state": "optimized geometry",
  "lattice_angstrom": [[-2.0828, 5.1659, 6.1053], [2.0828, -5.1659, 6.1053], [2.0828, 5.1659, -6.1053]],
  "species": ["Pu", "Pu", "Pu", "Ge", "Ge", "Ge", "Ge", "Ge", "Ge", "Ge", "Ge", "Rh", "Rh", "Rh"],
  "frac_coords": [[0.0000, 0.0000, 0.0000], [0.3088, 0.3088, 0.0000], [0.6912, 0.6912, 0.0000], [0.0277, 0.6560, 0.3716], [0.1716, 0.8749, 0.2967], [0.2844, 0.6560, 0.6284], [0.4218, 0.1251, 0.2967], [0.5782, 0.8749, 0.7033], [0.7156, 0.3440, 0.3716], [0.8284, 0.1251, 0.7033], [0.9723, 0.3440, 0.6284], [0.2933, 0.5000, 0.7933], [0.5000, 0.0000, 0.5000], [0.7067, 0.5000, 0.2067]],
  "m_tot_mub_per_cell": 16.224,
  "vol_a3_per_cell": 263,
  "dos_at_fermi_per_ev_atom": 2.292,
  "formation_enthalpy_0k_ev_per_atom": -0.398
}

{
  "formula": "CdNi2Mo",
  "functional": "GGA-PBE",
  "state": "optimized geometry",
  "lattice_angstrom": [[-3.4000, 3.4000, 2.7554], [3.4000, -3.4000, 2.7554], [3.4000, 3.4000, -2.7554]],
  "species": ["Cd", "Cd", "Ni", "Ni", "Ni", "Ni", "Mo", "Mo"],
  "frac_coords": [[0.0000, 0.0000, 0.0000], [0.7500, 0.2500, 0.5000], [0.1528, 0.6250, 0.0278], [0.3750, 0.4028, 0.5278], [0.5972, 0.1250, 0.9722], [0.8750, 0.8472, 0.4722], [0.2500, 0.7500, 0.5000], [0.5000, 0.5000, 0.0000]],
  "m_tot_mub_per_cell": 0.000,
  "vol_a3_per_cell": 127,
  "dos_at_fermi_per_ev_atom": 1.710,
  "formation_enthalpy_0k_ev_per_atom": 0.684
}

{
  "formula": "Li2GeRh",
  "functional": "GGA-PBE",
  "state": "optimized geometry",
  "lattice_angstrom": [[-1.7928, 1.7928, 9.3776], [1.7928, -1.7928, 9.3776], [1.7928, 1.7928, -9.3776]],
  "species": ["Li", "Li", "Li", "Li", "Ge", "Ge", "Rh", "Rh"],
  "frac_coords": [[0.1196, 0.6250, 0.9946], [0.3750, 0.3696, 0.4946], [0.6304, 0.1250, 0.0054], [0.8750, 0.8804, 0.5054], [0.2500, 0.7500, 0.5000], [0.5000, 0.5000, 0.0000], [0.0000, 0.0000, 0.0000], [0.7500, 0.2500, 0.5000]],
  "m_tot_mub_per_cell": 0.000,
  "vol_a3_per_cell": 121,
  "dos_at_fermi_per_ev_atom": 0.466,
  "formation_enthalpy_0k_ev_per_atom": -0.198
}

{
  "formula": "KBaCuNi2",
  "functional": "GGA-PBE",
  "state": "optimized geometry",
  "lattice_angstrom": [[4.8128, 0.0000, 0.0000], [0.0000, 4.8128, 0.0000], [0.0000, 0.0000, 5.1481]],
  "species": ["K", "Ba", "Cu", "Ni", "Ni"],
  "frac_coords": [[0.0000, 0.0000, 0.0000], [0.5000, 0.5000, 0.0000], [0.0000, 0.0000, 0.5000], [0.0000, 0.5000, 0.5000], [0.5000, 0.0000, 0.5000]],
  "m_tot_mub_per_cell": 0.000,
  "vol_a3_per_cell": 119,
  "dos_at_fermi_per_ev_atom": 0.574,
  "formation_enthalpy_0k_ev_per_atom": 0.608
}

{
  "formula": "Pm3DySi2",
  "functional": "GGA-PBE",
  "state": "optimized geometry",
  "lattice_angstrom": [[10.0031, -2.1154, 0.0000], [10.0031, 2.1154, 0.0000], [-3.3882, 0.0000, 7.5502]],
  "species": ["Pm", "Pm", "Pm", "Pm", "Pm", "Pm", "Dy", "Dy", "Si", "Si", "Si", "Si"],
  "frac_coords": [[0.0247, 0.0247, 0.3095], [0.3234, 0.3234, 0.5798], [0.4032, 0.4032, 0.0015], [0.5968, 0.5968, 0.9985], [0.6766, 0.6766, 0.4202], [0.9753, 0.9753, 0.6905], [0.1840, 0.1840, 0.7929], [0.8160, 0.8160, 0.2071], [0.2103, 0.2103, 0.1896], [0.4336, 0.4336, 0.3958], [0.5664, 0.5664, 0.6042], [0.7897, 0.7897, 0.8104]],
  "m_tot_mub_per_cell": 0.000,
  "vol_a3_per_cell": 320,
  "energy_ev_per_cell": -65.55,
  "dos_at_fermi_per_ev_atom": 0.910
}

{
  "formula": "Sc2TaAg",
  "functional": "GGA-PBE",
  "state": "optimized geometry",
  "lattice_angstrom": [[-1.5956, 2.5982, 4.8613], [1.5956, -2.5982, 4.8613], [1.5956, 2.5982, -4.8613]],
  "species": ["Sc", "Sc", "Ta", "Ag"],
  "frac_coords": [[0.2426, 0.2426, 0.0000], [0.7574, 0.7574, 0.0000], [0.5000, 0.0000, 0.5000], [0.0000, 0.5000, 0.5000]],
  "m_tot_mub_per_cell": 0.000,
  "vol_a3_per_cell": 81,
  "dos_at_fermi_per_ev_atom": 1.367,
  "formation_enthalpy_0k_ev_per_atom": 0.205
}